# MnAlRe, relaxed, DFT PBEsol
# * space-group type: F-43m (216)
# * energy of formation from the pure elements: 0.82 eV per atom
# * distance to the lowest polymorph of the same formula: 1071 meV/atom
data_MnAlRe
_symmetry_space_group_name_H-M 'P 1'
_symmetry_Int_Tables_number 1
_cell_length_a 4.080
_cell_length_b 4.080
_cell_length_c 4.080
_cell_angle_alpha 60.00
_cell_angle_beta 60.00
_cell_angle_gamma 60.00
loop_
_symmetry_equiv_pos_as_xyz
'x,y,z'
loop_
_atom_site_label
_atom_site_type_symbol
_atom_site_fract_x
_atom_site_fract_y
_atom_site_fract_z
_atom_site_occupancy
Mn1 Mn 0.000 0.000 0.000 1
Al1 Al 0.250 0.250 0.250 1
Re1 Re 0.500 0.500 0.500 1